Here is an optimized crystal structure of HgPtAu2 from the Alexandria database. Energies are from PBE.

POSCAR file:
```
HgPtAu2
1.0
-2.112 -2.059 -0.885
0.862 -1.870 2.291
-5.202 3.328 4.673
Au Hg Pt
2 1 1
Direct
0.000 0.000 0.766 Au
0.000 0.000 0.234 Au
0.500 0.500 0.500 Hg
0.500 0.500 0.000 Pt
```

As for the space group: P4/mmm, No. 123. As for the formation energy: 0.10 eV/atom. The uncorrected energy is -3.129 eV per atom.



Here is an optimized crystal structure of Tm2ScAu from the Alexandria database. Energies are from PBE.

POSCAR file:
```
Tm2ScAu
1.0
3.577 0.000 0.000
-1.789 6.211 0.000
0.000 0.000 9.138
Tm Sc Au
4 2 2
Direct
0.369 0.738 0.555 Tm
0.631 0.262 0.445 Tm
0.369 0.738 0.945 Tm
0.631 0.262 0.055 Tm
0.946 0.892 0.250 Sc
0.054 0.108 0.750 Sc
0.743 0.487 0.750 Au
0.257 0.513 0.250 Au
```

As for the space group: Cmcm, No. 63. As for the formation energy: -0.43 eV/atom. The uncorrected energy is -5.070 eV per atom.



Here is an optimized crystal structure of Rb2NiIBr6 from the Alexandria database. Energies are from PBE.

POSCAR file:
```
Rb2NiIBr6
1.0
7.703 0.000 0.000
0.000 7.703 0.000
3.851 3.851 5.880
I Ni Br Rb
1 1 6 2
Direct
0.000 0.000 0.000 I
0.500 0.500 0.000 Ni
0.298 0.298 0.405 Br
0.702 0.702 0.595 Br
0.269 0.269 0.000 Br
0.731 0.731 0.000 Br
0.731 0.269 0.000 Br
0.269 0.731 0.000 Br
0.750 0.250 0.500 Rb
0.250 0.750 0.500 Rb
```

As for the space group: I4/mmm, No. 139. The uncorrected energy is -2.720 eV per atom.



Here is an optimized crystal structure of Pr5YHoTm2 from the Alexandria database. Energies are from PBE.

POSCAR file:
```
Pr5YHoTm2
1.0
-5.352 -0.545 0.777
4.522 -3.442 9.727
-0.465 9.848 3.701
Pr Y Ho Tm
10 2 2 4
Direct
0.377 0.754 0.008 Pr
0.720 0.440 0.818 Pr
0.500 0.000 0.758 Pr
0.280 0.561 0.699 Pr
0.000 0.000 0.508 Pr
0.623 0.246 0.508 Pr
0.280 0.560 0.318 Pr
0.500 0.000 0.258 Pr
0.720 0.439 0.199 Pr
0.000 0.000 0.008 Pr
0.601 0.201 0.008 Y
0.399 0.799 0.508 Y
0.786 0.572 0.509 Ho
0.214 0.428 0.009 Ho
0.886 0.772 0.759 Tm
0.115 0.229 0.757 Tm
0.114 0.228 0.259 Tm
0.885 0.771 0.257 Tm
```

As for the space group: Cmc2_1, No. 36. As for the formation energy: 0.13 eV/atom. The uncorrected energy is -4.743 eV per atom.



> Among the records above, which one has the highest uncorrected energy?

Rb2NiIBr6



> Which of these has the highest uncorrected energy?

Rb2NiIBr6